SrCaMn2O6 | GGA+U | relaxed

Unit cell a=5.4000 b=5.4000 c=3.9063 alpha=90.00 beta=90.00 gamma=90.72
Closest atoms and distances in Å follow each position.
Fractional coordinates of all 10 atoms:
1 Sr 0.0000 0.0000 0.0000  8 O 2.53-2.70
2 Ca 0.5000 0.5000 0.0000  8 O 2.48-2.70
3 Mn 0.0000 0.5000 0.5000  6 O 1.92-1.96
4 Mn 0.5000 0.0000 0.5000  6 O 1.92-1.96
5 O 0.0000 0.5000 0.0000  2 Mn 1.95
6 O 0.2096 0.7904 0.5000  2 Mn 1.92
7 O 0.2982 0.2982 0.5000  2 Mn 1.96
8 O 0.5000 0.0000 0.0000  2 Mn 1.95
9 O 0.7018 0.7018 0.5000  2 Mn 1.96
10 O 0.7904 0.2096 0.5000  2 Mn 1.92

space group: Cmmm
calculated total energy: -6.862 eV/atom
E above lowest polymorph: 18.0 meV per atom
size of the total moment: 6.285 Bohr magnetons per cell